# 1
A PBEsol-optimized structure of Zn2Co3, computed with meta-GGA SCAN.

The volume comes out at 170.6 Å³/cell. The total moment comes out at 5.0 μB/f.u. As for the calculated density: 8.982 g/cm3. The formation energy is 3.9 kJ per mole of atoms.

The space group is R-3m (No. 166, hexagonal axes) and the conventional cell measures 2.5346, 2.5346 and 30.6649 Å, with angles of 90.00, 90.00 and 120.00 degrees. The distinct sites, in fractional coordinates, are Zn at (0.0000, 0.0000, 0.0993), Co at (0.0000, 0.0000, 0.3029) and Co at (0.0000, 0.0000, 0.5000).

# 2
A PBEsol-optimized structure of CsOs3Cl, computed with meta-GGA SCAN.

The volume comes out at 125.6 Å³/cell. The total moment comes out at 6.3 μB/f.u. As for the calculated density: 9.772 g/cm3. Its formation energy (no corrections) is 4.2340 eV per atom.

The space group is Pm-3m (No. 221) and the conventional cell measures 5.0077, 5.0077 and 5.0077 Å, with angles of 90.00, 90.00 and 90.00 degrees. The distinct sites, in fractional coordinates, are Cs at (0.0000, 0.0000, 0.0000), Os at (0.0000, 0.0000, 0.5000) and Cl at (0.5000, 0.5000, 0.5000).

# 3
A PBEsol-optimized structure of ZnSBrN2, computed with meta-GGA SCAN.

The volume comes out at 81.7 Å³/cell. The total moment comes out at 4.2 μB/f.u. As for the calculated density: 4.176 g/cm3. Its formation energy (no corrections) is 1.4417 eV per atom.

The space group is P4/mmm (No. 123) and the conventional cell measures 3.8498, 3.8498 and 5.5103 Å, with angles of 90.00, 90.00 and 90.00 degrees. The distinct sites, in fractional coordinates, are Zn at (0.0000, 0.0000, 0.0000), S at (0.0000, 0.0000, 0.5000), Br at (0.5000, 0.5000, 0.5000) and N at (0.0000, 0.5000, 0.0000).

# 4
A PBEsol-optimized structure of AlZn2Br, computed with meta-GGA SCAN.

The value obtained for the excess energy over the best structure of this formula in the dataset is 0 meV/atom. The volume comes out at 413.3 Å³/cell. The total moment comes out at 0.0 μB/f.u. As for the calculated density: 3.820 g/cm3. Its formation energy (no corrections) is 0.1447 eV per atom.

The space group is I-42d (No. 122) and the conventional cell measures 6.3189, 6.3189 and 10.3514 Å, with angles of 90.00, 90.00 and 90.00 degrees. The distinct sites, in fractional coordinates, are Al at (0.0000, 0.0000, 0.0000), Zn at (0.2286, 0.7500, 0.1250) and Br at (0.0000, 0.0000, 0.5000).

# 5
A PBEsol-optimized structure of TaAlZn2, computed with meta-GGA SCAN.

The volume comes out at 58.9 Å³/cell. The total moment comes out at 0.0 μB/f.u. As for the calculated density: 9.549 g/cm3. The formation energy is -22.0 kJ per mole of atoms.

The space group is P4/mmm (No. 123) and the conventional cell measures 3.8770, 3.8770 and 3.9191 Å, with angles of 90.00, 90.00 and 90.00 degrees. The distinct sites, in fractional coordinates, are Ta at (0.0000, 0.0000, 0.0000), Al at (0.5000, 0.5000, 0.0000) and Zn at (0.0000, 0.5000, 0.5000).

# 6
A PBEsol-optimized structure of Cu2SiNi, computed with meta-GGA SCAN.

The volume comes out at 44.2 Å³/cell. The total moment comes out at 0.0 μB/f.u. As for the calculated density: 8.036 g/cm3. Its formation energy (no corrections) is -0.1963 eV per atom.

The space group is P4/mmm (No. 123) and the conventional cell measures 3.4714, 3.4714 and 3.6675 Å, with angles of 90.00, 90.00 and 90.00 degrees. The distinct sites, in fractional coordinates, are Cu at (0.0000, 0.5000, 0.0000), Si at (0.0000, 0.0000, 0.5000) and Ni at (0.5000, 0.5000, 0.5000).

# 7
A PBEsol-optimized structure of SrMnO2F, computed with meta-GGA SCAN.

The volume comes out at 89.1 Å³/cell. The total moment comes out at 6.0 μB/f.u. As for the calculated density: 3.606 g/cm3. Its formation energy (no corrections) is -1.2210 eV per atom.

The space group is P4/mmm (No. 123) and the conventional cell measures 4.4946, 4.4946 and 4.4124 Å, with angles of 90.00, 90.00 and 90.00 degrees. The distinct sites, in fractional coordinates, are Sr at (0.0000, 0.0000, 0.0000), Mn at (0.5000, 0.5000, 0.5000), O at (0.0000, 0.5000, 0.0000) and F at (0.0000, 0.0000, 0.5000).

# 8
A PBEsol-optimized structure of LaZnSb2Te, computed with meta-GGA SCAN.

The volume comes out at 141.0 Å³/cell. The total moment comes out at 0.0 μB/f.u. As for the calculated density: 6.779 g/cm3. Its formation energy (no corrections) is -0.2684 eV per atom.

The space group is P4/mmm (No. 123) and the conventional cell measures 5.1464, 5.1464 and 5.3220 Å, with angles of 90.00, 90.00 and 90.00 degrees. The distinct sites, in fractional coordinates, are La at (0.0000, 0.0000, 0.0000), Zn at (0.5000, 0.5000, 0.5000), Sb at (0.0000, 0.5000, 0.5000) and Te at (0.5000, 0.5000, 0.0000).